one | Tb2Y3Tl | GGA-PBE | optimized geometry

Output
V = 181 Å³ per cell
symmetry = Cmmm (65)
total magnetization = 0.000 μB per atom

Geometry as POSCAR:
```
Tb2Y3Tl
1.0
2.441 -7.625 0.000
2.441 7.625 0.000
0.000 0.000 4.874
Tb Y Tl
2 3 1
Direct
0.163 0.837 0.000
0.837 0.163 0.000
0.000 0.000 0.500
0.332 0.668 0.500
0.668 0.332 0.500
0.500 0.500 0.000
```

=====

two | Tb2Y3Tl | GGA-PBE | optimized geometry

Output
V = 370 Å³ per cell
symmetry = Pnnm (58)
total magnetization = 0.000 μB per atom

Geometry as POSCAR:
```
Tb2Y3Tl
1.0
6.566 0.000 0.000
0.000 10.071 0.000
0.000 0.000 5.599
Tb Y Tl
4 6 2
Direct
0.204 0.198 0.000
0.296 0.698 0.500
0.704 0.302 0.500
0.796 0.802 0.000
0.000 0.000 0.500
0.201 0.369 0.500
0.299 0.869 0.000
0.500 0.500 0.000
0.701 0.131 0.000
0.799 0.631 0.500
0.000 0.500 0.000
0.500 0.000 0.500
```

=====

So which one wins? Going from most stable to least: one, two.